The following is a PBE calculation of a relaxed structure of DyTmBeGa, from the Alexandria database.

Calculated values
- symmetry = No. 216
- theoretical density (Mg/m³) = 8.17
- formation energy (eV per atom) = -0.25
- crystal system = cubic
- spin magnetization (Bohr magnetons per cell) = 0.000
- DOS(E_F) (states/eV/f.u.) = 2.980

Cell and atoms, written as POSCAR:
```
DyTmBeGa
1.0
0.000 3.468 3.468
3.468 0.000 3.468
3.468 3.468 0.000
Dy Tm Be Ga
1 1 1 1
Cartesian
0.000 0.000 0.000
3.468 3.468 3.468
5.202 5.202 5.202
1.734 1.734 1.734
```